Entry from Alexandria via LeMat-Bulk: a geometry-optimized Sm3ErPd12 structure (PBE). Values from VASP.

Quantum ESPRESSO input file:
```
&SYSTEM
  ibrav = 0, nat = 16, ntyp = 3
/
ATOMIC_SPECIES
Sm 150.36 Sm.upf
Er 167.26 Er.upf
Pd 106.42 Pd.upf
ATOMIC_POSITIONS crystal
Sm 0.000 0.000 0.000
Sm 0.000 0.000 0.253
Sm 0.000 0.000 0.747
Er 0.000 0.000 0.500
Pd 0.000 0.500 0.126
Pd 0.000 0.500 0.379
Pd 0.000 0.500 0.621
Pd 0.000 0.500 0.874
Pd 0.500 0.000 0.126
Pd 0.500 0.000 0.379
Pd 0.500 0.000 0.621
Pd 0.500 0.000 0.874
Pd 0.500 0.500 0.000
Pd 0.500 0.500 0.252
Pd 0.500 0.500 0.500
Pd 0.500 0.500 0.748
CELL_PARAMETERS angstrom
4.149 0.000 0.000
0.000 4.149 0.000
0.000 0.000 16.682
```

Summary:
**Crystal system**: tetragonal



Entry from Alexandria via LeMat-Bulk: a geometry-optimized Sm2Er3Pd2 structure (PBE). Values from VASP.

Quantum ESPRESSO input file:
```
&SYSTEM
  ibrav = 0, nat = 14, ntyp = 3
/
ATOMIC_SPECIES
Sm 150.36 Sm.upf
Er 167.26 Er.upf
Pd 106.42 Pd.upf
ATOMIC_POSITIONS crystal
Sm 0.155 0.000 0.313
Sm 0.345 0.500 0.687
Sm 0.655 0.500 0.313
Sm 0.845 0.000 0.687
Er 0.000 0.500 0.500
Er 0.115 0.500 0.942
Er 0.385 0.000 0.058
Er 0.500 0.000 0.500
Er 0.615 0.000 0.942
Er 0.885 0.500 0.058
Pd 0.166 0.000 0.739
Pd 0.334 0.500 0.261
Pd 0.666 0.500 0.739
Pd 0.834 0.000 0.261
CELL_PARAMETERS angstrom
12.509 0.000 0.000
0.000 3.709 0.000
-4.214 0.000 8.050
```

Summary:
**Crystal system**: monoclinic



Entry from Alexandria via LeMat-Bulk: a geometry-optimized Sm4Er3Pd4 structure (PBE). Values from VASP.

Quantum ESPRESSO input file:
```
&SYSTEM
  ibrav = 0, nat = 11, ntyp = 3
/
ATOMIC_SPECIES
Sm 150.36 Sm.upf
Er 167.26 Er.upf
Pd 106.42 Pd.upf
ATOMIC_POSITIONS crystal
Sm 0.027 0.841 0.186
Sm 0.345 0.159 0.186
Sm 0.655 0.841 0.814
Sm 0.973 0.159 0.814
Er 0.000 0.500 0.500
Er 0.391 0.391 0.000
Er 0.609 0.609 0.000
Pd 0.248 0.748 0.500
Pd 0.343 0.000 0.343
Pd 0.657 0.000 0.657
Pd 0.752 0.252 0.500
CELL_PARAMETERS angstrom
-1.916 4.716 7.907
1.916 -4.716 7.907
1.916 4.716 -7.907
```

Summary:
**Crystal system**: orthorhombic



Entry from Alexandria via LeMat-Bulk: a geometry-optimized Sm2ErPd3 structure (PBE). Values from VASP.

Quantum ESPRESSO input file:
```
&SYSTEM
  ibrav = 0, nat = 12, ntyp = 3
/
ATOMIC_SPECIES
Sm 150.36 Sm.upf
Er 167.26 Er.upf
Pd 106.42 Pd.upf
ATOMIC_POSITIONS crystal
Sm 0.000 0.166 0.000
Sm 0.000 0.834 0.000
Sm 0.500 0.334 0.000
Sm 0.500 0.666 0.000
Er 0.000 0.500 0.000
Er 0.500 0.000 0.000
Pd 0.000 0.000 0.500
Pd 0.000 0.344 0.500
Pd 0.000 0.656 0.500
Pd 0.500 0.156 0.500
Pd 0.500 0.500 0.500
Pd 0.500 0.844 0.500
CELL_PARAMETERS angstrom
5.045 0.000 0.000
0.000 15.323 0.000
0.000 0.000 3.464
```

Summary:
**Crystal system**: orthorhombic



The records above yield formation energy from the elements values of -0.831, -0.531, -0.546, -0.834 eV/atom, respectively.
The records above yield uncorrected energy values of -5.895, -5.319, -5.395, -5.764 eV/atom, respectively.
The records above yield calculated volume values of 287.2, 186.8, 285.8, 133.9 Å³/f.u., respectively.